No. 1
# PBE BaTmIn, relaxed
# Energy of formation: -0.163 eV per atom
# Final energy: -3.208 eV/atom
# Distance to the lowest polymorph of the same formula: 150.3 meV per atom
data_BaTmIn
_cell_length_a 3.970
_cell_length_b 3.970
_cell_length_c 13.804
_cell_angle_alpha 90.00
_cell_angle_beta 90.00
_cell_angle_gamma 90.00
_symmetry_space_group_name_H-M 'I 4 m m'
_symmetry_Int_Tables_number 107
_symmetry_space_group_name_Hall 'I 4 -2'
loop_
_atom_site_label
_atom_site_type_symbol
_atom_site_fract_x
_atom_site_fract_y
_atom_site_fract_z
Ba1 Ba 0.000 0.000 0.000
Tm1 Tm 0.000 0.000 0.282
In1 In 0.000 0.000 0.679

No. 2
# PBE Pm4Cd3Pd4, relaxed
# Energy of formation: -0.435 eV per atom
# Final energy: -4.301 eV/atom
data_Pm4Cd3Pd4
_cell_length_a 3.846
_cell_length_b 9.671
_cell_length_c 14.620
_cell_angle_alpha 90.00
_cell_angle_beta 90.00
_cell_angle_gamma 90.00
_symmetry_space_group_name_H-M 'I m m m'
_symmetry_Int_Tables_number 71
_symmetry_space_group_name_Hall '-I 2 2'
loop_
_atom_site_label
_atom_site_type_symbol
_atom_site_fract_x
_atom_site_fract_y
_atom_site_fract_z
Pm1 Pm 0.000 0.188 0.149
Cd1 Cd 0.000 0.000 0.383
Cd2 Cd 0.000 0.500 0.500
Pd1 Pd 0.000 0.361 0.000
Pd2 Pd 0.000 0.500 0.263